# GGA-PBEsol GdDyAl4, optimized geometry
# Density of states at the Fermi level = 13.73 states/eV per cell
# E_tot = -6.50 eV/atom
# Formation energy = -0.54 eV/atom
data_GdDyAl4
_chemical_formula_sum 'Gd4 Dy4 Al16'
_space_group_name_H-M_alt 'F -4 3 m'
_space_group_IT_number 216
_space_group_name_Hall 'F -4 2 3'
_cell_length_a 7.807
_cell_length_b 7.807
_cell_length_c 7.807
_cell_angle_alpha 90.00
_cell_angle_beta 90.00
_cell_angle_gamma 90.00
loop_
_atom_site_label
_atom_site_type_symbol
_atom_site_fract_x
_atom_site_fract_y
_atom_site_fract_z
_atom_site_occupancy
Gd1 Gd 0.000 0.000 0.000 1
Dy1 Dy 0.250 0.250 0.750 1
Al1 Al 0.125 0.125 0.375 1

---

# GGA-PBEsol DyAlGe, optimized geometry
# Density of states at the Fermi level = 3.64 states/eV per cell
# E_tot = -5.38 eV/atom
# Formation energy = -0.71 eV/atom
data_DyAlGe
_chemical_formula_sum 'Dy4 Al4 Ge4'
_space_group_name_H-M_alt 'C m c m'
_space_group_IT_number 63
_space_group_name_Hall '-C 2c 2'
_cell_length_a 4.024
_cell_length_b 10.274
_cell_length_c 5.706
_cell_angle_alpha 90.00
_cell_angle_beta 90.00
_cell_angle_gamma 90.00
loop_
_atom_site_label
_atom_site_type_symbol
_atom_site_fract_x
_atom_site_fract_y
_atom_site_fract_z
_atom_site_occupancy
Dy1 Dy 0.000 0.191 0.250 1
Al1 Al 0.000 0.500 0.000 1
Ge1 Ge 0.000 0.106 0.750 1

---

# GGA-PBEsol DyAl2Ge2, optimized geometry
# Density of states at the Fermi level = 1.60 states/eV per cell
# E_tot = -5.05 eV/atom
# Formation energy = -0.44 eV/atom
data_DyAl2Ge2
_chemical_formula_sum 'Dy1 Al2 Ge2'
_space_group_name_H-M_alt 'P -3 m 1'
_space_group_IT_number 164
_space_group_name_Hall '-P 3 2"'
_cell_length_a 4.2257
_cell_length_b 4.2257
_cell_length_c 6.5230
_cell_angle_alpha 90.00
_cell_angle_beta 90.00
_cell_angle_gamma 120.00
loop_
_atom_site_label
_atom_site_type_symbol
_atom_site_fract_x
_atom_site_fract_y
_atom_site_fract_z
_atom_site_occupancy
Dy1 Dy 0.0000 0.0000 0.0000 1
Al1 Al 0.3333 0.6667 0.6465 1
Ge1 Ge 0.3333 0.6667 0.2551 1

---

# GGA-PBEsol DyHoAl4, optimized geometry
# Density of states at the Fermi level = 20.02 states/eV per cell
# E_tot = -4.91 eV/atom
# Formation energy = -0.53 eV/atom
data_DyHoAl4
_chemical_formula_sum 'Dy4 Ho4 Al16'
_space_group_name_H-M_alt 'F -4 3 m'
_space_group_IT_number 216
_space_group_name_Hall 'F -4 2 3'
_cell_length_a 7.778
_cell_length_b 7.778
_cell_length_c 7.778
_cell_angle_alpha 90.00
_cell_angle_beta 90.00
_cell_angle_gamma 90.00
loop_
_atom_site_label
_atom_site_type_symbol
_atom_site_fract_x
_atom_site_fract_y
_atom_site_fract_z
_atom_site_occupancy
Dy1 Dy 0.000 0.000 0.000 1
Ho1 Ho 0.250 0.250 0.750 1
Al1 Al 0.125 0.125 0.375 1

---

# GGA-PBEsol Dy2Al9Ir3, optimized geometry
# Density of states at the Fermi level = 19.48 states/eV per cell
# E_tot = -6.31 eV/atom
# Formation energy = -0.86 eV/atom
data_Dy2Al9Ir3
_chemical_formula_sum 'Dy8 Al36 Ir12'
_space_group_name_H-M_alt 'C m c m'
_space_group_IT_number 63
_space_group_name_Hall '-C 2c 2'
_cell_length_a 12.930
_cell_length_b 7.544
_cell_length_c 9.384
_cell_angle_alpha 90.00
_cell_angle_beta 90.00
_cell_angle_gamma 90.00
loop_
_atom_site_label
_atom_site_type_symbol
_atom_site_fract_x
_atom_site_fract_y
_atom_site_fract_z
_atom_site_occupancy
Dy1 Dy 0.161 0.167 0.250 1
Al1 Al 0.000 0.129 0.750 1
Al2 Al 0.000 0.333 0.052 1
Al3 Al 0.105 0.445 0.750 1
Al4 Al 0.167 0.168 0.575 1
Ir1 Ir 0.000 0.000 0.000 1
Ir2 Ir 0.172 0.500 0.000 1

---

# GGA-PBEsol LiDy2Al, optimized geometry
# Density of states at the Fermi level = 16.20 states/eV per cell
# E_tot = -4.20 eV/atom
# Formation energy = -0.19 eV/atom
data_LiDy2Al
_chemical_formula_sum 'Li4 Dy8 Al4'
_space_group_name_H-M_alt 'F m -3 m'
_space_group_IT_number 225
_space_group_name_Hall '-F 4 2 3'
_cell_length_a 7.189
_cell_length_b 7.189
_cell_length_c 7.189
_cell_angle_alpha 90.00
_cell_angle_beta 90.00
_cell_angle_gamma 90.00
loop_
_atom_site_label
_atom_site_type_symbol
_atom_site_fract_x
_atom_site_fract_y
_atom_site_fract_z
_atom_site_occupancy
Li1 Li 0.000 0.000 0.000 1
Dy1 Dy 0.250 0.250 0.250 1
Al1 Al 0.000 0.000 0.500 1

---

# GGA-PBEsol Dy2MgAl, optimized geometry
# Density of states at the Fermi level = 10.09 states/eV per cell
# E_tot = -4.21 eV/atom
# Formation energy = -0.27 eV/atom
data_Dy2MgAl
_chemical_formula_sum 'Dy8 Mg4 Al4'
_space_group_name_H-M_alt 'F m -3 m'
_space_group_IT_number 225
_space_group_name_Hall '-F 4 2 3'
_cell_length_a 7.254
_cell_length_b 7.254
_cell_length_c 7.254
_cell_angle_alpha 90.00
_cell_angle_beta 90.00
_cell_angle_gamma 90.00
loop_
_atom_site_label
_atom_site_type_symbol
_atom_site_fract_x
_atom_site_fract_y
_atom_site_fract_z
_atom_site_occupancy
Dy1 Dy 0.250 0.250 0.250 1
Mg1 Mg 0.000 0.000 0.000 1
Al1 Al 0.000 0.000 0.500 1

---

# GGA-PBEsol DyMn6Al6, optimized geometry
# Density of states at the Fermi level = 20.60 states/eV per cell
# E_tot = -7.00 eV/atom
# Formation energy = -0.22 eV/atom
data_DyMn6Al6
_chemical_formula_sum 'Dy2 Mn12 Al12'
_space_group_name_H-M_alt 'I m m m'
_space_group_IT_number 71
_space_group_name_Hall '-I 2 2'
_cell_length_a 4.871
_cell_length_b 8.425
_cell_length_c 8.548
_cell_angle_alpha 90.00
_cell_angle_beta 90.00
_cell_angle_gamma 90.00
loop_
_atom_site_label
_atom_site_type_symbol
_atom_site_fract_x
_atom_site_fract_y
_atom_site_fract_z
_atom_site_occupancy
Dy1 Dy 0.000 0.000 0.000 1
Mn1 Mn 0.000 0.500 0.260 1
Mn2 Mn 0.250 0.250 0.250 1
Al1 Al 0.000 0.000 0.341 1
Al2 Al 0.000 0.305 0.500 1
Al3 Al 0.000 0.347 0.000 1

---

Repeat the second record exactly.
# GGA-PBEsol DyAlGe, optimized geometry
# Density of states at the Fermi level = 3.64 states/eV per cell
# E_tot = -5.38 eV/atom
# Formation energy = -0.71 eV/atom
data_DyAlGe
_chemical_formula_sum 'Dy4 Al4 Ge4'
_space_group_name_H-M_alt 'C m c m'
_space_group_IT_number 63
_space_group_name_Hall '-C 2c 2'
_cell_length_a 4.024
_cell_length_b 10.274
_cell_length_c 5.706
_cell_angle_alpha 90.00
_cell_angle_beta 90.00
_cell_angle_gamma 90.00
loop_
_atom_site_label
_atom_site_type_symbol
_atom_site_fract_x
_atom_site_fract_y
_atom_site_fract_z
_atom_site_occupancy
Dy1 Dy 0.000 0.191 0.250 1
Al1 Al 0.000 0.500 0.000 1
Ge1 Ge 0.000 0.106 0.750 1